The following is a DFT calculation (meta-GGA SCAN) of a crystal of CeGa3Pd relaxed with PBEsol.

Cell and atoms, written as CIF:
```
data_CeGa3Pd
_chemical_formula_sum 'Ce4 Ga12 Pd4'
_cell_length_a 6.310
_cell_length_b 10.101
_cell_length_c 5.793
_cell_angle_alpha 90.00
_cell_angle_beta 90.00
_cell_angle_gamma 90.00
_symmetry_space_group_name_H-M 'C m c m'
_symmetry_Int_Tables_number 63
_symmetry_space_group_name_Hall '-C 2c 2'
loop_
_atom_site_label
_atom_site_type_symbol
_atom_site_fract_x
_atom_site_fract_y
_atom_site_fract_z
Ce1 Ce 0.000 0.232 0.250
Ga1 Ga 0.000 0.333 0.750
Ga2 Ga 0.212 0.500 0.000
Pd1 Pd 0.000 0.091 0.750
```

Output
* calculated volume: 18.461 Å³ per atom
* E: -0.9579 hartree per atom
* E_form: -791 meV per atom

=====

The following is a DFT calculation (meta-GGA SCAN) of a crystal of Li2Si2Br relaxed with PBEsol.

Cell and atoms, written as CIF:
```
data_Li2Si2Br
_chemical_formula_sum 'Li4 Si4 Br2'
_cell_length_a 3.445
_cell_length_b 3.445
_cell_length_c 15.187
_cell_angle_alpha 90.00
_cell_angle_beta 90.00
_cell_angle_gamma 90.00
_symmetry_space_group_name_H-M 'I 4/m m m'
_symmetry_Int_Tables_number 139
_symmetry_space_group_name_Hall '-I 4 2'
loop_
_atom_site_label
_atom_site_type_symbol
_atom_site_fract_x
_atom_site_fract_y
_atom_site_fract_z
Li1 Li 0.000 0.000 0.100
Si1 Si 0.000 0.500 0.250
Br1 Br 0.000 0.000 0.500
```

Output
* calculated volume: 18.019 Å³ per atom
* uncorrected formation energy: -461.1 meV per atom
* E: -0.3423 hartree per atom

=====

The following is a DFT calculation (meta-GGA SCAN) of a crystal of CaZn2Au relaxed with PBEsol.

Cell and atoms, written as CIF:
```
data_CaZn2Au
_chemical_formula_sum 'Ca3 Zn6 Au3'
_cell_length_a 4.4066
_cell_length_b 4.4066
_cell_length_c 14.6905
_cell_angle_alpha 90.00
_cell_angle_beta 90.00
_cell_angle_gamma 120.00
_symmetry_space_group_name_H-M 'R 3 m'
_symmetry_Int_Tables_number 160
_symmetry_space_group_name_Hall 'R 3 -2"'
loop_
_atom_site_label
_atom_site_type_symbol
_atom_site_fract_x
_atom_site_fract_y
_atom_site_fract_z
Ca1 Ca 0.0000 0.0000 0.0000
Zn1 Zn 0.0000 0.0000 0.2004
Zn2 Zn 0.0000 0.0000 0.4858
Au1 Au 0.0000 0.0000 0.7971
```

Output
* calculated volume: 20.587 Å³ per atom
* E: -0.9912 hartree per atom
* E_form: -510 meV per atom